[1]
Computed, not measured: an optimized crystal structure of ZrRh3Pb at the PBE-GGA level of DFT.

Cell: 4.8663 4.8663 4.8663 Å, 90.00 90.00 90.00°
Closest atoms and distances in Å follow each position.
Sites, in units of the cell vectors:
Rh (0.5000, 0.0000, 0.0000)  2 Pb 2.43
Rh (0.0000, 0.5000, 0.0000)  2 Pb 2.43
Pb (0.0000, 0.0000, 0.0000)  6 Rh 2.43
Zr (0.5000, 0.5000, 0.5000)  12 Rh 3.44
Rh (0.0000, 0.0000, 0.5000)  2 Pb 2.43

Results
ΔH_f (0 K) ... 5.2 eV/f.u.
Raw total energy ... -29.13 eV per formula unit
Space group ... No. 221
Crystal system ... cubic
Polymorph energy (0 for the lowest one) ... 419 meV per atom

[2]
Computed, not measured: an optimized crystal structure of CeH2Cl3 at the PBE-GGA level of DFT.

Cell: 7.5973 7.5973 7.6096 Å, 90.00 90.00 120.00°
Closest atoms and distances in Å follow each position.
Sites, in units of the cell vectors:
H (0.6667, 0.3333, 0.0490)  1 H 3.06, 3 Cl 3.27
H (0.6667, 0.3333, 0.4510)  1 H 3.06, 3 Cl 3.27
Cl (0.1545, 0.8455, 0.2500)  2 Ce 2.78
H (0.3333, 0.6667, 0.5490)  1 H 3.06, 3 Cl 3.27
H (0.3333, 0.6667, 0.9510)  1 H 3.06, 3 Cl 3.27
Cl (0.1545, 0.3091, 0.2500)  2 Ce 2.78
Ce (0.0000, 0.0000, 0.0000)  6 Cl 2.78
Cl (0.3091, 0.1545, 0.7500)  2 Ce 2.78
Cl (0.6909, 0.8455, 0.2500)  2 Ce 2.78
Cl (0.8455, 0.6909, 0.7500)  2 Ce 2.78
Ce (0.0000, 0.0000, 0.5000)  6 Cl 2.78
Cl (0.8455, 0.1545, 0.7500)  2 Ce 2.78

Results
Raw total energy ... -22.25 eV per formula unit
Space group ... No. 194
Crystal system ... hexagonal

[3]
Computed, not measured: an optimized crystal structure of CePu2Sb3 at the PBE-GGA level of DFT.

Cell: 4.4653 6.2959 7.6972 Å, 114.14 106.86 90.00°
Closest atoms and distances in Å follow each position.
Sites, in units of the cell vectors:
Pu (0.6662, 0.1662, 0.3323)  6 Sb 3.14-3.15
Sb (0.3318, 0.3318, 0.6637)  4 Pu 3.14-3.15, 2 Ce 3.16
Ce (0.0000, 0.5000, 0.0000)  6 Sb 3.15-3.16
Sb (0.0000, 0.0000, 0.0000)  4 Pu 3.14, 2 Ce 3.15
Sb (0.6682, 0.6682, 0.3363)  4 Pu 3.14-3.15, 2 Ce 3.16
Pu (0.3338, 0.8338, 0.6677)  6 Sb 3.14-3.15

Results
Energy relative to the elements, uncorrected ... -0.750 eV per atom
Raw total energy ... -51.46 eV per formula unit
Space group ... No. 71
Crystal system ... orthorhombic

Look up the raw total energy of the first one.
-29.13 eV per formula unit

Number 3 is which compound?
CePu2Sb3